Here is a relaxed structure of Pm5Rh2O from the Alexandria database. Energies are from PBE.

- VASP energy (eV/atom) = -6.4047
- symmetry = Fmmm (69)
- raw formation energy (eV/atom) = -0.978

Cell: 8.9471 7.4699 6.0783 Å, 81.96 55.76 42.27°
Fractional positions:
1 Pm 0.0000 0.0000 0.0000
2 Pm 0.2138 0.5098 0.4902
3 Pm 0.4902 0.7862 0.2138
4 Pm 0.5098 0.2138 0.7862
5 Pm 0.7862 0.4902 0.5098
6 Rh 0.1921 0.1921 0.8079
7 Rh 0.8079 0.8079 0.1921
8 O 0.5000 0.5000 0.5000